[1]
# KIn6Se8, relaxed, DFT PBE
data_KIn6Se8
_cell_length_a 11.6608
_cell_length_b 11.6608
_cell_length_c 11.6642
_cell_angle_alpha 90.00
_cell_angle_beta 90.00
_cell_angle_gamma 120.00
_symmetry_space_group_name_H-M 'R -3'
_symmetry_Int_Tables_number 148
_symmetry_space_group_name_Hall '-R 3'
loop_
_atom_site_label
_atom_site_fract_x
_atom_site_fract_y
_atom_site_fract_z
K1 0.0000 0.0000 0.0000
In1 0.0510 0.2516 0.6329
Se1 0.0000 0.0000 0.3267
Se2 0.0364 0.2829 0.1295
# E_form (uncorrected), eV per atom: -0.507
# Total moment, μB per cell: 0.00

---

[2]
# InSiMo2, relaxed, DFT PBE
data_InSiMo2
_cell_length_a 3.0565
_cell_length_b 3.0565
_cell_length_c 26.0844
_cell_angle_alpha 90.00
_cell_angle_beta 90.00
_cell_angle_gamma 120.00
_symmetry_space_group_name_H-M 'R 3 m'
_symmetry_Int_Tables_number 160
_symmetry_space_group_name_Hall 'R 3 -2"'
loop_
_atom_site_label
_atom_site_fract_x
_atom_site_fract_y
_atom_site_fract_z
In1 0.0000 0.0000 0.0000
Si1 0.0000 0.0000 0.7610
Mo1 0.0000 0.0000 0.2415
Mo2 0.0000 0.0000 0.5013
# E_form (uncorrected), eV per atom: 0.229
# Total moment, μB per cell: 0.00

---

[3]
# ZrBC2S, relaxed, DFT PBE
data_ZrBC2S
_cell_length_a 3.8209
_cell_length_b 3.8209
_cell_length_c 3.6439
_cell_angle_alpha 90.00
_cell_angle_beta 90.00
_cell_angle_gamma 90.00
_symmetry_space_group_name_H-M 'P 4/m m m'
_symmetry_Int_Tables_number 123
_symmetry_space_group_name_Hall '-P 4 2'
loop_
_atom_site_label
_atom_site_fract_x
_atom_site_fract_y
_atom_site_fract_z
Zr1 0.0000 0.0000 0.0000
B1 0.5000 0.5000 0.0000
C1 0.0000 0.5000 0.5000
S1 0.5000 0.5000 0.5000
# E_form (uncorrected), eV per atom: 1.539
# Total moment, μB per cell: 0.00

---

[4]
# LuZnSn2, relaxed, DFT PBE
data_LuZnSn2
_cell_length_a 4.3299
_cell_length_b 4.3299
_cell_length_c 9.7000
_cell_angle_alpha 90.00
_cell_angle_beta 90.00
_cell_angle_gamma 90.00
_symmetry_space_group_name_H-M 'P 4/n m m'
_symmetry_Int_Tables_number 129
loop_
_symmetry_equiv_pos_as_xyz
'x,y,z'
'-x,-y,-z'
'-y+1/2,x,z'
'y+1/2,-x,-z'
'-x+1/2,-y+1/2,z'
'x+1/2,y+1/2,-z'
'y,-x+1/2,z'
'-y,x+1/2,-z'
'x+1/2,-y,-z'
'-x+1/2,y,z'
'-y,-x,-z'
'y,x,z'
'-x,y+1/2,-z'
'x,-y+1/2,z'
'y+1/2,x+1/2,-z'
'-y+1/2,-x+1/2,z'
loop_
_atom_site_label
_atom_site_fract_x
_atom_site_fract_y
_atom_site_fract_z
Lu1 0.2500 0.2500 0.2496
Zn1 0.2500 0.7500 0.0000
Sn1 0.2500 0.2500 0.8102
Sn2 0.2500 0.7500 0.5000
# Total moment, μB per cell: 0.00
# Calculated formation energy, eV/atom: -0.38